Entry 1:
A plane-wave DFT calculation with PBE was carried out for a relaxed structure of AcS2O6.

abc: 7.4731 6.9384 8.6761
angles: 55.86 50.21 73.93
With the nearest neighbours (Å) after each atom.
Sites, in units of the cell vectors:
Ac 0.0000 0.0000 0.0000  8 O 2.57-2.69
Ac 0.2500 0.2500 0.2500  8 O 2.57-2.69
S 0.2190 0.6473 0.7445  3 O 1.50-1.55
S 0.5055 0.8608 0.0310  3 O 1.50-1.55
S 0.6473 0.2190 0.3892  3 O 1.50-1.55
S 0.8608 0.5055 0.6027  3 O 1.50-1.55
O 0.1016 0.4369 0.8181  1 S 1.50
O 0.1123 0.8655 0.6563  1 S 1.53
O 0.1501 0.6145 0.9690  1 S 1.55
O 0.2810 0.9837 0.0999  1 S 1.55
O 0.4319 0.6066 0.1484  1 S 1.50
O 0.4369 0.1016 0.6434  1 S 1.50
O 0.5937 0.8841 0.1377  1 S 1.53
O 0.6066 0.4319 0.8131  1 S 1.50
O 0.6145 0.1501 0.2663  1 S 1.55
O 0.8655 0.1123 0.3659  1 S 1.53
O 0.8841 0.5937 0.3845  1 S 1.53
O 0.9837 0.2810 0.6355  1 S 1.55

Raw total energy in eV/cell: -117.67
Offset from the most stable computed form in meV per atom: 0
Uncorrected formation energy in meV per atom: -1858
Crystal system: orthorhombic


Entry 2:
A plane-wave DFT calculation with PBE was carried out for a relaxed structure of Rb3HgO.

abc: 5.7440 5.7440 5.7440
angles: 90.00 90.00 90.00
With the nearest neighbours (Å) after each atom.
Sites, in units of the cell vectors:
Rb 0.0000 0.0000 0.5000  2 O 2.87
Rb 0.0000 0.5000 0.0000  2 O 2.87
Rb 0.5000 0.0000 0.0000  2 O 2.87
Hg 0.5000 0.5000 0.5000  12 Rb 4.06
O 0.0000 0.0000 0.0000  6 Rb 2.87

Raw total energy in eV/cell: -11.09
Offset from the most stable computed form in meV per atom: 8
Uncorrected formation energy in meV per atom: -585
Crystal system: cubic


Entry 3:
A plane-wave DFT calculation with PBE was carried out for a relaxed structure of MnCuTe2.

abc: 6.8545 3.9623 6.9127
angles: 90.00 109.37 90.00
With the nearest neighbours (Å) after each atom.
Sites, in units of the cell vectors:
Mn 0.0000 0.0000 0.0000  6 Te 2.82-2.83
Mn 0.5000 0.5000 0.0000  6 Te 2.82-2.83
Cu 0.0000 0.5000 0.5000  6 Te 2.79
Cu 0.5000 0.0000 0.5000  6 Te 2.79
Te 0.2482 0.0000 0.7457  3 Cu 2.79, 3 Mn 2.82-2.83
Te 0.2518 0.5000 0.2543  3 Cu 2.79, 3 Mn 2.82-2.83
Te 0.7482 0.5000 0.7457  3 Cu 2.79, 3 Mn 2.82-2.83
Te 0.7518 0.0000 0.2543  3 Cu 2.79, 3 Mn 2.82-2.83

Raw total energy in eV/cell: -39.37
Uncorrected formation energy in meV per atom: -34
Crystal system: monoclinic


Entry 4:
A plane-wave DFT calculation with PBE was carried out for a relaxed structure of Nd6Dy12Mg.

abc: 8.5444 8.5444 8.5444
angles: 88.94 88.94 88.94
With the nearest neighbours (Å) after each atom.
Sites, in units of the cell vectors:
Nd 0.1982 0.5934 0.7620  7 Dy 3.35-3.67, 1 Mg 3.47, 2 Nd 3.51
Nd 0.2380 0.8018 0.4066  7 Dy 3.35-3.67, 1 Mg 3.47, 2 Nd 3.51
Nd 0.4066 0.2380 0.8018  7 Dy 3.35-3.67, 1 Mg 3.47, 2 Nd 3.51
Nd 0.5934 0.7620 0.1982  7 Dy 3.35-3.67, 1 Mg 3.47, 2 Nd 3.51
Nd 0.7620 0.1982 0.5934  7 Dy 3.35-3.67, 1 Mg 3.47, 2 Nd 3.51
Nd 0.8018 0.4066 0.2380  7 Dy 3.35-3.67, 1 Mg 3.47, 2 Nd 3.51
Dy 0.0374 0.2783 0.9369  6 Dy 3.29-3.64, 3 Nd 3.35-3.42
Dy 0.0631 0.9626 0.7217  6 Dy 3.29-3.64, 3 Nd 3.35-3.42
Dy 0.1392 0.3120 0.4847  4 Nd 3.46-3.67, 4 Dy 3.47-3.64, 1 Mg 3.51
Dy 0.2783 0.9369 0.0374  6 Dy 3.29-3.64, 3 Nd 3.35-3.42
Dy 0.3120 0.4847 0.1392  4 Nd 3.46-3.67, 4 Dy 3.47-3.64, 1 Mg 3.51
Dy 0.4847 0.1392 0.3120  4 Nd 3.46-3.67, 4 Dy 3.47-3.64, 1 Mg 3.51
Dy 0.5153 0.8608 0.6880  4 Nd 3.46-3.67, 4 Dy 3.47-3.64, 1 Mg 3.51
Dy 0.6880 0.5153 0.8608  4 Nd 3.46-3.67, 4 Dy 3.47-3.64, 1 Mg 3.51
Dy 0.7217 0.0631 0.9626  6 Dy 3.29-3.64, 3 Nd 3.35-3.42
Dy 0.8608 0.6880 0.5153  4 Nd 3.46-3.67, 4 Dy 3.47-3.64, 1 Mg 3.51
Dy 0.9369 0.0374 0.2783  6 Dy 3.29-3.64, 3 Nd 3.35-3.42
Dy 0.9626 0.7217 0.0631  6 Dy 3.29-3.64, 3 Nd 3.35-3.42
Mg 0.5000 0.5000 0.5000  6 Nd 3.47, 6 Dy 3.51

Raw total energy in eV/cell: -83.04
Offset from the most stable computed form in meV per atom: 0
Crystal system: trigonal


Entry 5:
A plane-wave DFT calculation with PBE was carried out for a relaxed structure of Cs3Tb2ScS6.

abc: 7.0170 7.0170 8.3722
angles: 98.03 98.03 119.99
With the nearest neighbours (Å) after each atom.
Sites, in units of the cell vectors:
Cs 0.0000 0.0000 0.0000  6 S 3.45-3.54
Cs 0.3315 0.6685 0.0000  6 S 3.46-3.53
Cs 0.6685 0.3315 0.0000  6 S 3.46-3.53
Tb 0.1666 0.8334 0.5000  6 S 2.79
Tb 0.8334 0.1666 0.5000  6 S 2.79
Sc 0.5000 0.5000 0.5000  6 S 2.67
S 0.1201 0.4403 0.3212  1 Sc 2.67, 2 Tb 2.79
S 0.2395 0.2395 0.6798  1 Sc 2.67, 2 Tb 2.79
S 0.4403 0.1201 0.3212  1 Sc 2.67, 2 Tb 2.79
S 0.5597 0.8799 0.6788  1 Sc 2.67, 2 Tb 2.79
S 0.7605 0.7605 0.3202  1 Sc 2.67, 2 Tb 2.79
S 0.8799 0.5597 0.6788  1 Sc 2.67, 2 Tb 2.79

Raw total energy in eV/cell: -64.22
Uncorrected formation energy in meV per atom: -1775
Crystal system: monoclinic


Entry 6:
A plane-wave DFT calculation with PBE was carried out for a relaxed structure of SrLa2Tm.

abc: 3.7619 3.7619 37.5681
angles: 90.00 90.00 120.00
With the nearest neighbours (Å) after each atom.
Sites, in units of the cell vectors:
Sr 0.0000 0.0000 0.0000  6 Sr 3.76, 6 La 4.03-4.08
Sr 0.3333 0.6667 0.6667  6 Sr 3.76, 6 La 4.03-4.08
Sr 0.6667 0.3333 0.3333  6 Sr 3.76, 6 La 4.03-4.08
La 0.0000 0.0000 0.2415  3 Tm 3.57, 6 La 3.76
La 0.0000 0.0000 0.4238  3 Tm 3.58, 6 La 3.76
La 0.3333 0.6667 0.0904  3 Tm 3.58, 6 La 3.76
La 0.3333 0.6667 0.9081  3 Tm 3.57, 6 La 3.76
La 0.6667 0.3333 0.5748  3 Tm 3.57, 6 La 3.76
La 0.6667 0.3333 0.7571  3 Tm 3.58, 6 La 3.76
Tm 0.0000 0.0000 0.8327  6 La 3.57-3.58, 6 Tm 3.76
Tm 0.3333 0.6667 0.4994  6 La 3.57-3.58, 6 Tm 3.76
Tm 0.6667 0.3333 0.1660  6 La 3.57-3.58, 6 Tm 3.76

Raw total energy in eV/cell: -46.86
Offset from the most stable computed form in meV per atom: 0
Crystal system: trigonal